Record 1
Na4InSbAu2: optimized geometry, PBE.

Summary:
The value obtained for the energy is -2.6370 eV/atom.

Unit cell a=4.899 b=4.899 c=7.223 alpha=90.00 beta=90.00 gamma=90.00
Space group P-4m2 (No. 115)
Unique sites:
Na1 0.000 0.000 0.000
Na2 0.000 0.500 0.750
Na3 0.500 0.500 0.500
In1 0.000 0.000 0.500
Sb1 0.500 0.500 0.000
Au1 0.000 0.500 0.261


Record 2
Ba2InAgO4: optimized geometry, PBE.

Summary:
The value obtained for the energy is -5.4478 eV/atom.

Unit cell a=4.165 b=4.165 c=8.555 alpha=90.00 beta=90.00 gamma=90.00
Space group P4/mmm (No. 123)
Unique sites:
Ba1 0.000 0.000 0.223
In1 0.500 0.500 0.000
Ag1 0.500 0.500 0.500
O1 0.000 0.500 0.000
O2 0.500 0.500 0.265


Record 3
MoOs: optimized geometry, PBE.

Summary:
The calculation puts the formation energy from the elements at 0.07 eV per atom.

Unit cell a=2.7753 b=2.7753 c=4.4968 alpha=90.00 beta=90.00 gamma=120.00
Space group P-6m2 (No. 187)
Unique sites:
Mo1 0.0000 0.0000 0.0000
Os1 0.6667 0.3333 0.5000


Record 4
KThGa: optimized geometry, PBE.

Summary:
The value obtained for the energy is -2.7880 eV/atom.

Unit cell a=7.126 b=7.126 c=7.126 alpha=90.00 beta=90.00 gamma=90.00
Space group F-43m (No. 216)
Unique sites:
K1 0.000 0.000 0.000
Th1 0.250 0.250 0.250
Ga1 0.250 0.250 0.750


Record 5
BePdSO: optimized geometry, PBE.

Summary:
For the energy above the lowest structure with this stoichiometry, the calculation gives 0.786 eV/atom.

Unit cell a=5.832 b=7.399 c=4.557 alpha=90.00 beta=90.00 gamma=90.00
Space group Pca2_1 (No. 29)
Unique sites:
Be1 0.250 0.084 0.000
Pd1 0.112 0.819 0.250
S1 0.035 0.276 0.249
O1 0.124 0.465 0.248


Record 6
CsZrTlS3: optimized geometry, PBE.

Summary:
For the energy above the lowest structure with this stoichiometry, the calculation gives 0.134 eV/atom.

Unit cell a=3.814 b=18.259 c=11.053 alpha=90.00 beta=90.00 gamma=90.00
Space group Cmcm (No. 63)
Unique sites:
Cs1 0.000 0.190 0.250
Zr1 0.000 0.500 0.000
Tl1 0.000 0.123 0.750
S1 0.000 0.094 0.010
S2 0.000 0.491 0.250


Record 7
SrMgSiPt: optimized geometry, PBE.

Summary:
For the energy above the lowest structure with this stoichiometry, the calculation gives 0.000 eV/atom.

Unit cell a=6.771 b=6.771 c=6.771 alpha=90.00 beta=90.00 gamma=90.00
Space group F-43m (No. 216)
Unique sites:
Sr1 0.000 0.000 0.000
Mg1 0.250 0.250 0.750
Si1 0.250 0.250 0.250
Pt1 0.000 0.000 0.500


Record 8
TbTm2Ga3Si2Ni: optimized geometry, PBE.

Summary:
The value obtained for the energy is -5.0274 eV/atom.

Unit cell a=4.126 b=11.870 c=6.812 alpha=90.00 beta=90.00 gamma=90.00
Space group Amm2 (No. 38)
Unique sites:
Tb1 0.000 0.000 0.000
Tm1 0.000 0.202 0.394
Ga1 0.500 0.000 0.358
Ga2 0.500 0.119 0.712
Si1 0.500 0.169 0.096
Ni1 0.000 0.000 0.591